{"formula": "CaInNi2", "functional": "PBE", "state": "relaxed", "e_form_ev_per_atom": -0.055, "crystal_system": "tetragonal", "dos_at_fermi_per_ev_cell": 1.837, "lattice_angstrom": [[-2.008, -0.291, 4.141], [0.959, -5.168, -5.037], [1.991, -2.445, 0.792]], "species": ["Ni", "Ni", "Ca", "In"], "frac_coords": [[0.000, 0.000, 0.000], [0.000, 0.500, 0.500], [0.500, 0.500, 0.000], [0.500, 0.000, 0.500]]}

---

{"formula": "Mg2TlHg", "functional": "PBE", "state": "relaxed", "e_form_ev_per_atom": 0.093, "crystal_system": "orthorhombic", "dos_at_fermi_per_ev_cell": 1.707, "lattice_angstrom": [[-4.624, -4.433, -2.220], [4.317, -0.330, 5.216], [-5.856, 1.948, -2.804]], "species": ["Mg", "Mg", "Tl", "Hg"], "frac_coords": [[0.759, 0.000, 0.759], [0.241, 0.000, 0.241], [0.500, 0.000, 0.500], [0.000, 0.000, 0.000]]}

---

{"formula": "MoPbW3", "functional": "PBE", "state": "relaxed", "e_form_ev_per_atom": 2.017, "relative_energy_mev_per_atom": 0, "crystal_system": "cubic", "dos_at_fermi_per_ev_cell": 8.444, "lattice_angstrom": [[4.819, 0.000, 0.000], [0.000, 4.819, 0.000], [0.000, 0.000, 4.819]], "species": ["Pb", "Mo", "W", "W", "W"], "frac_coords": [[0.500, 0.500, 0.500], [0.000, 0.000, 0.000], [0.000, 0.500, 0.000], [0.000, 0.000, 0.500], [0.500, 0.000, 0.000]]}

---

{"formula": "ZnHg3", "functional": "PBE", "state": "relaxed", "e_form_ev_per_atom": 0.091, "relative_energy_mev_per_atom": 23, "crystal_system": "orthorhombic", "dos_at_fermi_per_ev_cell": 1.200, "lattice_angstrom": [[3.385, -0.015, 0.000], [-1.014, 3.229, 0.000], [0.000, 0.000, 8.860]], "species": ["Zn", "Hg", "Hg", "Hg"], "frac_coords": [[0.500, 0.500, 0.250], [0.000, 0.000, 0.023], [0.000, 0.000, 0.477], [0.500, 0.500, 0.750]]}

---

{"formula": "Li3Cu2Rh3", "functional": "PBE", "state": "relaxed", "e_form_ev_per_atom": -0.039, "crystal_system": "trigonal", "dos_at_fermi_per_ev_cell": 8.724, "lattice_angstrom": [[4.692, -0.073, 0.068], [-0.068, 4.692, 0.068], [0.073, 0.073, 4.691]], "species": ["Li", "Li", "Li", "Cu", "Cu", "Rh", "Rh", "Rh"], "frac_coords": [[0.240, 0.760, 0.500], [0.500, 0.240, 0.240], [0.760, 0.500, 0.760], [0.256, 0.256, 0.744], [0.744, 0.744, 0.256], [0.244, 0.756, 0.000], [0.000, 0.244, 0.244], [0.756, 0.000, 0.756]]}

---

{"formula": "SbMo", "functional": "PBE", "state": "relaxed", "raw_formation_energy_ev_per_fu": 0.55, "crystal_system": "orthorhombic", "dos_at_fermi_per_ev_cell": 4.067, "lattice_angstrom": [[-2.954, -0.505, 1.215], [2.011, -2.345, 3.915], [0.254, 4.078, 2.312]], "species": ["Mo", "Mo", "Sb", "Sb"], "frac_coords": [[0.000, 0.000, 0.023], [0.500, 0.500, 0.811], [0.500, 0.000, 0.534], [0.000, 0.500, 0.299]]}